Arrangement P

A plane-wave DFT calculation with PBE-GGA was carried out for a relaxed CaLa2Hf2 crystal.

Results
V, Å³ per cell: 312.0
Crystal system: tetragonal
Space group: P4/mbm, No. 127
Magnetization, μB/f.u.: 0.000

a b c (Å): 9.478 9.478 3.474
angles (deg): 90.00 90.00 90.00
Atoms (fractional coordinates):
Ca 0.000 0.000 0.000
Ca 0.500 0.500 0.000
La 0.183 0.317 0.500
La 0.317 0.817 0.500
La 0.683 0.183 0.500
La 0.817 0.683 0.500
Hf 0.111 0.611 0.000
Hf 0.389 0.111 0.000
Hf 0.611 0.889 0.000
Hf 0.889 0.389 0.000



Arrangement Q

A plane-wave DFT calculation with PBE-GGA was carried out for a relaxed CaLa2Hf2 crystal.

Results
V, Å³ per cell: 306.4
Crystal system: tetragonal
Space group: P4/mbm, No. 127
Magnetization, μB/f.u.: 0.000

a b c (Å): 9.528 9.528 3.375
angles (deg): 90.00 90.00 90.00
Atoms (fractional coordinates):
Ca 0.000 0.000 0.000
Ca 0.500 0.500 0.000
La 0.182 0.318 0.000
La 0.318 0.818 0.000
La 0.682 0.182 0.000
La 0.818 0.682 0.000
Hf 0.112 0.612 0.500
Hf 0.388 0.112 0.500
Hf 0.612 0.888 0.500
Hf 0.888 0.388 0.500



On energetic grounds, arrangement P is preferred over the next structure by 51 meV/atom.



Arrangement P

A plane-wave DFT calculation with PBE-GGA was carried out for a relaxed Ca3LaHf crystal.

Results
V, Å³ per cell: 197.9
Crystal system: cubic
Space group: Pm-3m, No. 221
Magnetization, μB/f.u.: 0.000

a b c (Å): 5.827 5.827 5.827
angles (deg): 90.00 90.00 90.00
Atoms (fractional coordinates):
Ca 0.000 0.000 0.500
Ca 0.000 0.500 0.000
Ca 0.500 0.000 0.000
La 0.500 0.500 0.500
Hf 0.000 0.000 0.000



Arrangement Q

A plane-wave DFT calculation with PBE-GGA was carried out for a relaxed Ca3LaHf crystal.

Results
V, Å³ per cell: 180.3
Crystal system: cubic
Space group: Pm-3m, No. 221
Magnetization, μB/f.u.: 0.000

a b c (Å): 5.649 5.649 5.649
angles (deg): 90.00 90.00 90.00
Atoms (fractional coordinates):
Ca 0.000 0.000 0.500
Ca 0.000 0.500 0.000
Ca 0.500 0.000 0.000
La 0.000 0.000 0.000
Hf 0.500 0.500 0.500



On energetic grounds, arrangement P is preferred over the next structure by 499 meV/atom.



Arrangement P

A plane-wave DFT calculation with PBE-GGA was carried out for a relaxed Li2CaHf2 crystal.

Results
V, Å³ per cell: 120.0
Crystal system: tetragonal
Space group: I4/mmm, No. 139
Magnetization, μB/f.u.: 0.000

a b c (Å): 7.476 7.476 7.476
angles (deg): 147.53 147.53 46.58
Atoms (fractional coordinates):
Li 0.097 0.097 0.000
Li 0.903 0.903 0.000
Ca 0.500 0.500 0.000
Hf 0.250 0.750 0.500
Hf 0.750 0.250 0.500



Arrangement Q

A plane-wave DFT calculation with PBE-GGA was carried out for a relaxed Li2CaHf2 crystal.

Results
V, Å³ per cell: 227.9
Crystal system: tetragonal
Space group: P4/mbm, No. 127
Magnetization, μB/f.u.: 0.000

a b c (Å): 8.702 8.702 3.009
angles (deg): 90.00 90.00 90.00
Atoms (fractional coordinates):
Li 0.168 0.332 0.000
Li 0.332 0.832 0.000
Li 0.668 0.168 0.000
Li 0.832 0.668 0.000
Ca 0.000 0.000 0.000
Ca 0.500 0.500 0.000
Hf 0.127 0.627 0.500
Hf 0.373 0.127 0.500
Hf 0.627 0.873 0.500
Hf 0.873 0.373 0.500



On energetic grounds, arrangement P is preferred over the next structure by 30 meV/atom.



Arrangement P

A plane-wave DFT calculation with PBE-GGA was carried out for a relaxed CaLu2Hf crystal.

Results
V, Å³ per cell: 119.0
Crystal system: tetragonal
Space group: P4/mmm, No. 123
Magnetization, μB/f.u.: 0.000

a b c (Å): 3.416 3.416 10.195
angles (deg): 90.00 90.00 90.00
Atoms (fractional coordinates):
Ca 0.000 0.000 0.000
Lu 0.500 0.500 0.288
Lu 0.500 0.500 0.712
Hf 0.000 0.000 0.500



Arrangement Q

A plane-wave DFT calculation with PBE-GGA was carried out for a relaxed CaLu2Hf crystal.

Results
V, Å³ per cell: 118.6
Crystal system: trigonal
Space group: R-3m, No. 166
Magnetization, μB/f.u.: 0.000

a b c (Å): 11.972 11.972 11.972
angles (deg): 16.35 16.35 16.35
Atoms (fractional coordinates):
Ca 0.000 0.000 0.000
Lu 0.095 0.095 0.095
Lu 0.905 0.905 0.905
Hf 0.500 0.500 0.500



On energetic grounds, arrangement P is preferred over the next structure by 93 meV/atom.



Arrangement P

A plane-wave DFT calculation with PBE-GGA was carried out for a relaxed CaHf2Mg crystal.

Results
V, Å³ per cell: 208.6
Crystal system: tetragonal
Space group: I-42d, No. 122
Magnetization, μB/f.u.: 0.000

a b c (Å): 6.636 6.636 6.636
angles (deg): 101.42 101.42 127.16
Atoms (fractional coordinates):
Ca 0.000 0.000 0.000
Ca 0.750 0.250 0.500
Hf 0.151 0.625 0.026
Hf 0.375 0.401 0.526
Hf 0.599 0.125 0.974
Hf 0.875 0.849 0.474
Mg 0.250 0.750 0.500
Mg 0.500 0.500 0.000



Arrangement Q

A plane-wave DFT calculation with PBE-GGA was carried out for a relaxed CaHf2Mg crystal.

Results
V, Å³ per cell: 97.2
Crystal system: cubic
Space group: Fm-3m, No. 225
Magnetization, μB/f.u.: 0.001

a b c (Å): 5.160 5.160 5.160
angles (deg): 60.00 60.00 60.00
Atoms (fractional coordinates):
Ca 0.000 0.000 0.000
Hf 0.250 0.250 0.250
Hf 0.750 0.750 0.750
Mg 0.500 0.500 0.500



On energetic grounds, arrangement Q is preferred over the next structure by 245 meV/atom.



Arrangement P

A plane-wave DFT calculation with PBE-GGA was carried out for a relaxed Ca2HfMg crystal.

Results
V, Å³ per cell: 117.4
Crystal system: trigonal
Space group: R-3m, No. 166
Magnetization, μB/f.u.: 0.000

a b c (Å): 12.344 12.344 12.344
angles (deg): 15.53 15.53 15.53
Atoms (fractional coordinates):
Ca 0.088 0.088 0.088
Ca 0.912 0.912 0.912
Hf 0.000 0.000 0.000
Mg 0.500 0.500 0.500



Arrangement Q

A plane-wave DFT calculation with PBE-GGA was carried out for a relaxed Ca2HfMg crystal.

Results
V, Å³ per cell: 118.1
Crystal system: cubic
Space group: Fm-3m, No. 225
Magnetization, μB/f.u.: 0.000

a b c (Å): 5.508 5.508 5.508
angles (deg): 60.00 60.00 60.00
Atoms (fractional coordinates):
Ca 0.250 0.250 0.250
Ca 0.750 0.750 0.750
Hf 0.000 0.000 0.000
Mg 0.500 0.500 0.500



Arrangement R

A plane-wave DFT calculation with PBE-GGA was carried out for a relaxed Ca2HfMg crystal.

Results
V, Å³ per cell: 242.1
Crystal system: tetragonal
Space group: I-42d, No. 122
Magnetization, μB/f.u.: 1.788

a b c (Å): 6.913 6.913 6.913
angles (deg): 102.79 102.79 123.86
Atoms (fractional coordinates):
Ca 0.108 0.625 0.983
Ca 0.375 0.358 0.483
Ca 0.642 0.125 0.017
Ca 0.875 0.892 0.517
Hf 0.250 0.750 0.500
Hf 0.500 0.500 0.000
Mg 0.000 0.000 0.000
Mg 0.750 0.250 0.500



On energetic grounds, arrangement Q is preferred over the next structure by 37 meV/atom.



Arrangement P

A plane-wave DFT calculation with PBE-GGA was carried out for a relaxed CaHf2Mn crystal.

Results
V, Å³ per cell: 262.8
Crystal system: tetragonal
Space group: I4_1/amd, No. 141
Magnetization, μB/f.u.: 0.000

a b c (Å): 7.207 7.207 7.207
angles (deg): 120.47 120.47 89.18
Atoms (fractional coordinates):
Ca 0.375 0.625 0.750
Ca 0.625 0.375 0.250
Hf 0.000 0.000 0.000
Hf 0.000 0.000 0.500
Hf 0.000 0.500 0.000
Hf 0.500 0.000 0.500
Mn 0.125 0.875 0.250
Mn 0.875 0.125 0.750



Arrangement Q

A plane-wave DFT calculation with PBE-GGA was carried out for a relaxed CaHf2Mn crystal.

Results
V, Å³ per cell: 79.1
Crystal system: cubic
Space group: Fm-3m, No. 225
Magnetization, μB/f.u.: 0.000

a b c (Å): 4.819 4.819 4.819
angles (deg): 60.00 60.00 60.00
Atoms (fractional coordinates):
Ca 0.000 0.000 0.000
Hf 0.250 0.250 0.250
Hf 0.750 0.750 0.750
Mn 0.500 0.500 0.500



On energetic grounds, arrangement Q is preferred over the next structure by 584 meV/atom.



Arrangement P

A plane-wave DFT calculation with PBE-GGA was carried out for a relaxed CaHf3Mn crystal.

Results
V, Å³ per cell: 119.9
Crystal system: cubic
Space group: Pm-3m, No. 221
Magnetization, μB/f.u.: 0.000

a b c (Å): 4.930 4.930 4.930
angles (deg): 90.00 90.00 90.00
Atoms (fractional coordinates):
Ca 0.000 0.000 0.000
Hf 0.000 0.500 0.500
Hf 0.500 0.000 0.500
Hf 0.500 0.500 0.000
Mn 0.500 0.500 0.500



Arrangement Q

A plane-wave DFT calculation with PBE-GGA was carried out for a relaxed CaHf3Mn crystal.

Results
V, Å³ per cell: 116.1
Crystal system: cubic
Space group: Pm-3m, No. 221
Magnetization, μB/f.u.: 0.260

a b c (Å): 4.879 4.879 4.879
angles (deg): 90.00 90.00 90.00
Atoms (fractional coordinates):
Ca 0.000 0.000 0.000
Hf 0.000 0.000 0.500
Hf 0.000 0.500 0.000
Hf 0.500 0.000 0.000
Mn 0.500 0.500 0.500



On energetic grounds, arrangement P is preferred over the next structure by 1998 meV/atom.



Arrangement P

A plane-wave DFT calculation with PBE-GGA was carried out for a relaxed CaHf3Mo crystal.

Results
V, Å³ per cell: 135.3
Crystal system: cubic
Space group: Pm-3m, No. 221
Magnetization, μB/f.u.: 0.000

a b c (Å): 5.134 5.134 5.134
angles (deg): 90.00 90.00 90.00
Atoms (fractional coordinates):
Ca 0.000 0.000 0.000
Hf 0.000 0.500 0.500
Hf 0.500 0.000 0.500
Hf 0.500 0.500 0.000
Mo 0.500 0.500 0.500



Arrangement Q

A plane-wave DFT calculation with PBE-GGA was carried out for a relaxed CaHf3Mo crystal.

Results
V, Å³ per cell: 113.4
Crystal system: cubic
Space group: Pm-3m, No. 221
Magnetization, μB/f.u.: 0.000

a b c (Å): 4.840 4.840 4.840
angles (deg): 90.00 90.00 90.00
Atoms (fractional coordinates):
Ca 0.000 0.000 0.000
Hf 0.000 0.000 0.500
Hf 0.000 0.500 0.000
Hf 0.500 0.000 0.000
Mo 0.500 0.500 0.500



On energetic grounds, arrangement P is preferred over the next structure by 1573 meV/atom.



Arrangement P

A plane-wave DFT calculation with PBE-GGA was carried out for a relaxed Na2CaHfN crystal.

Results
V, Å³ per cell: 162.7
Crystal system: tetragonal
Space group: P4/mmm, No. 123
Magnetization, μB/f.u.: 0.000

a b c (Å): 6.343 6.343 4.044
angles (deg): 90.00 90.00 90.00
Atoms (fractional coordinates):
Na 0.000 0.500 0.000
Na 0.500 0.000 0.000
Ca 0.000 0.000 0.500
Hf 0.500 0.500 0.000
N 0.500 0.500 0.500



Arrangement Q

A plane-wave DFT calculation with PBE-GGA was carried out for a relaxed Na2CaHfN crystal.

Results
V, Å³ per cell: 213.2
Crystal system: tetragonal
Space group: P4/mmm, No. 123
Magnetization, μB/f.u.: 2.923

a b c (Å): 5.954 5.954 6.016
angles (deg): 90.00 90.00 90.00
Atoms (fractional coordinates):
Na 0.000 0.500 0.000
Na 0.500 0.000 0.000
Ca 0.000 0.000 0.500
Hf 0.000 0.000 0.000
N 0.500 0.500 0.500



On energetic grounds, arrangement P is preferred over the next structure by 1705 meV/atom.



Arrangement P

A plane-wave DFT calculation with PBE-GGA was carried out for a relaxed CaHf8N8O4 crystal.

Results
V, Å³ per cell: 276.8
Crystal system: triclinic
Space group: P1, No. 1
Magnetization, μB/f.u.: 0.000

a b c (Å): 5.449 5.600 10.342
angles (deg): 86.67 89.64 61.51
Atoms (fractional coordinates):
Ca 0.000 0.000 0.000
Hf 0.027 0.950 0.369
Hf 0.306 0.327 0.133
Hf 0.342 0.324 0.840
Hf 0.350 0.305 0.424
Hf 0.658 0.691 0.872
Hf 0.661 0.683 0.175
Hf 0.695 0.617 0.575
Hf 0.927 0.005 0.681
N 0.015 0.653 0.261
N 0.324 0.659 0.494
N 0.326 0.030 0.274
N 0.540 0.000 0.020
N 0.619 0.413 0.739
N 0.697 0.993 0.514
N 0.947 0.443 0.022
N 0.979 0.623 0.740
O 0.016 0.272 0.510
O 0.236 0.010 0.799
O 0.391 0.567 0.992
O 0.628 0.339 0.264



Arrangement Q

A plane-wave DFT calculation with PBE-GGA was carried out for a relaxed CaHf8N8O4 crystal.

Results
V, Å³ per cell: 309.5
Crystal system: triclinic
Space group: P1, No. 1
Magnetization, μB/f.u.: 0.000

a b c (Å): 5.721 5.771 11.125
angles (deg): 77.58 75.46 61.16
Atoms (fractional coordinates):
Ca 0.000 0.000 0.000
Hf 0.132 0.403 0.702
Hf 0.222 0.477 0.423
Hf 0.337 0.345 0.997
Hf 0.455 0.761 0.701
Hf 0.544 0.843 0.431
Hf 0.623 0.635 0.134
Hf 0.773 0.121 0.695
Hf 0.865 0.200 0.421
N 0.087 0.066 0.779
N 0.243 0.174 0.350
N 0.334 0.626 0.073
N 0.421 0.402 0.797
N 0.477 0.163 0.562
N 0.578 0.535 0.332
N 0.843 0.451 0.562
N 0.969 0.376 0.045
O 0.222 0.752 0.569
O 0.603 0.992 0.065
O 0.774 0.749 0.758
O 0.910 0.850 0.366



Arrangement R

A plane-wave DFT calculation with PBE-GGA was carried out for a relaxed CaHf8N8O4 crystal.

Results
V, Å³ per cell: 270.6
Crystal system: triclinic
Space group: P1, No. 1
Magnetization, μB/f.u.: 0.000

a b c (Å): 5.497 5.516 10.694
angles (deg): 75.74 76.63 60.27
Atoms (fractional coordinates):
Ca 0.000 0.000 0.000
Hf 0.108 0.019 0.741
Hf 0.184 0.143 0.459
Hf 0.319 0.316 0.038
Hf 0.442 0.375 0.723
Hf 0.576 0.525 0.277
Hf 0.670 0.692 0.962
Hf 0.805 0.790 0.541
Hf 0.906 0.864 0.258
N 0.075 0.660 0.876
N 0.327 0.605 0.126
N 0.375 0.055 0.869
N 0.435 0.776 0.620
N 0.578 0.144 0.382
N 0.637 0.906 0.120
N 0.818 0.102 0.618
N 0.873 0.532 0.381
O 0.142 0.392 0.619
O 0.202 0.827 0.375
O 0.677 0.365 0.877
O 0.948 0.292 0.133



On energetic grounds, arrangement P is preferred over the next structure by 88 meV/atom.